# 1
# Gd3MgTl2Pt2Au PBE-GGA optimized geometry
data_Gd3MgTl2Pt2Au
_cell_length_a 3.944
_cell_length_b 13.461
_cell_length_c 7.736
_cell_angle_alpha 90.00
_cell_angle_beta 90.00
_cell_angle_gamma 90.00
_space_group_name_H-M_alt 'A m m 2'
_space_group_IT_number 38
loop_
_space_group_symop_operation_xyz
'x,y,z'
'-x,-y,z'
'-x,y,z'
'x,-y,z'
'x,y+1/2,z+1/2'
'-x,-y+1/2,z+1/2'
'-x,y+1/2,z+1/2'
'x,-y+1/2,z+1/2'
loop_
_atom_site_label
_atom_site_fract_x
_atom_site_fract_y
_atom_site_fract_z
Gd1 0.000 0.000 0.000
Gd2 0.000 0.206 0.614
Mg1 0.500 0.000 0.671
Tl1 0.500 0.131 0.278
Pt1 0.500 0.160 0.897
Au1 0.000 0.000 0.437
# Calculated density (g/cm³): 12.064
# Calculated total energy (eV per atom): -4.75

=====

# 2
# Zn2Ir PBE-GGA optimized geometry
data_Zn2Ir
_cell_length_a 8.529
_cell_length_b 4.467
_cell_length_c 4.388
_cell_angle_alpha 90.00
_cell_angle_beta 90.00
_cell_angle_gamma 90.00
_space_group_name_H-M_alt 'C m c m'
_space_group_IT_number 63
_space_group_name_Hall '-C 2c 2'
loop_
_atom_site_label
_atom_site_fract_x
_atom_site_fract_y
_atom_site_fract_z
Zn1 0.166 0.208 0.250
Ir1 0.000 0.285 0.750
# Calculated density (g/cm³): 12.835
# Energy of formation (kcal/mol of atoms): -4.0

=====

# 3
# BeFeReGe PBE-GGA optimized geometry
data_BeFeReGe
_cell_length_a 5.787
_cell_length_b 5.787
_cell_length_c 5.787
_cell_angle_alpha 90.00
_cell_angle_beta 90.00
_cell_angle_gamma 90.00
_space_group_name_H-M_alt 'F -4 3 m'
_space_group_IT_number 216
_space_group_name_Hall 'F -4 2 3'
loop_
_atom_site_label
_atom_site_fract_x
_atom_site_fract_y
_atom_site_fract_z
Be1 0.000 0.000 0.000
Fe1 0.000 0.000 0.500
Re1 0.250 0.250 0.750
Ge1 0.250 0.250 0.250
# Calculated density (g/cm³): 11.097
# Relative energy among the computed polymorphs (meV per atom): 128

=====

# 4
# NaNdInTe3 PBE-GGA optimized geometry
data_NaNdInTe3
_cell_length_a 4.497
_cell_length_b 15.308
_cell_length_c 11.595
_cell_angle_alpha 90.00
_cell_angle_beta 90.00
_cell_angle_gamma 90.00
_space_group_name_H-M_alt 'C m c m'
_space_group_IT_number 63
_space_group_name_Hall '-C 2c 2'
loop_
_atom_site_label
_atom_site_fract_x
_atom_site_fract_y
_atom_site_fract_z
Na1 0.000 0.230 0.250
Nd1 0.000 0.000 0.000
In1 0.000 0.478 0.750
Te1 0.000 0.106 0.750
Te2 0.000 0.356 0.556
# Calculated density (g/cm³): 5.533
# Calculated total energy (eV per atom): -3.85

=====

# 5
# Sc3Al3Cu2Ni PBE-GGA optimized geometry
data_Sc3Al3Cu2Ni
_cell_length_a 6.8980
_cell_length_b 6.8980
_cell_length_c 3.6044
_cell_angle_alpha 90.00
_cell_angle_beta 90.00
_cell_angle_gamma 120.00
_space_group_name_H-M_alt 'P -6 2 m'
_space_group_IT_number 189
_space_group_name_Hall 'P -6 -2'
loop_
_atom_site_label
_atom_site_fract_x
_atom_site_fract_y
_atom_site_fract_z
Sc1 0.0000 0.4086 0.0000
Al1 0.0000 0.7542 0.5000
Cu1 0.3333 0.6667 0.5000
Ni1 0.0000 0.0000 0.0000
# Calculated density (g/cm³): 4.490
# Calculated total energy (eV per atom): -5.33

=====

# 6
# ZrCuBW PBE-GGA optimized geometry
data_ZrCuBW
_cell_length_a 6.153
_cell_length_b 6.153
_cell_length_c 6.153
_cell_angle_alpha 90.00
_cell_angle_beta 90.00
_cell_angle_gamma 90.00
_space_group_name_H-M_alt 'F -4 3 m'
_space_group_IT_number 216
_space_group_name_Hall 'F -4 2 3'
loop_
_atom_site_label
_atom_site_fract_x
_atom_site_fract_y
_atom_site_fract_z
Zr1 0.000 0.000 0.000
Cu1 0.250 0.250 0.750
B1 0.000 0.000 0.500
W1 0.250 0.250 0.250
# Calculated density (g/cm³): 9.963
# Relative energy among the computed polymorphs (meV per atom): 0

=====

# 7
# BaDyNb PBE-GGA optimized geometry
data_BaDyNb
_cell_length_a 7.347
_cell_length_b 7.347
_cell_length_c 7.347
_cell_angle_alpha 90.00
_cell_angle_beta 90.00
_cell_angle_gamma 90.00
_space_group_name_H-M_alt 'F -4 3 m'
_space_group_IT_number 216
_space_group_name_Hall 'F -4 2 3'
loop_
_atom_site_label
_atom_site_fract_x
_atom_site_fract_y
_atom_site_fract_z
Ba1 0.000 0.000 0.000
Dy1 0.250 0.250 0.750
Nb1 0.250 0.250 0.250
# Calculated density (g/cm³): 6.577
# Relative energy among the computed polymorphs (meV per atom): 476

=====

# 8
# RbSm2CuSe4 PBE-GGA optimized geometry
data_RbSm2CuSe4
_cell_length_a 4.198
_cell_length_b 14.505
_cell_length_c 14.557
_cell_angle_alpha 90.00
_cell_angle_beta 90.00
_cell_angle_gamma 90.00
_space_group_name_H-M_alt 'C m c m'
_space_group_IT_number 63
_space_group_name_Hall '-C 2c 2'
loop_
_atom_site_label
_atom_site_fract_x
_atom_site_fract_y
_atom_site_fract_z
Rb1 0.000 0.108 0.250
Sm1 0.000 0.365 0.063
Cu1 0.000 0.162 0.750
Se1 0.000 0.000 0.000
Se2 0.000 0.263 0.612
Se3 0.000 0.429 0.250
# Calculated density (g/cm³): 5.737
# Calculated total energy (eV per atom): -5.02

=====

# 9
# Ba2HgB PBE-GGA optimized geometry
data_Ba2HgB
_cell_length_a 7.732
_cell_length_b 7.732
_cell_length_c 7.732
_cell_angle_alpha 90.00
_cell_angle_beta 90.00
_cell_angle_gamma 90.00
_space_group_name_H-M_alt 'F -4 3 m'
_space_group_IT_number 216
_space_group_name_Hall 'F -4 2 3'
loop_
_atom_site_label
_atom_site_fract_x
_atom_site_fract_y
_atom_site_fract_z
Ba1 0.000 0.000 0.000
Ba2 0.250 0.250 0.250
Hg1 0.250 0.250 0.750
B1 0.000 0.000 0.500
# Calculated density (g/cm³): 6.984
# Calculated total energy (eV per atom): -2.05

=====

# 10
# Tm6Co30P19 PBE-GGA optimized geometry
data_Tm6Co30P19
_cell_length_a 14.5886
_cell_length_b 14.5886
_cell_length_c 3.5532
_cell_angle_alpha 90.00
_cell_angle_beta 90.00
_cell_angle_gamma 120.00
_space_group_name_H-M_alt 'P -6'
_space_group_IT_number 174
loop_
_space_group_symop_operation_xyz
'x,y,z'
'-x+y,-x,-z'
'-y,x-y,z'
'x,y,-z'
'-x+y,-x,z'
'-y,x-y,-z'
loop_
_atom_site_label
_atom_site_fract_x
_atom_site_fract_y
_atom_site_fract_z
Tm1 0.0376 0.2737 0.0000
Tm2 0.4303 0.3711 0.5000
Co1 0.0594 0.4424 0.5000
Co2 0.0679 0.8171 0.5000
Co3 0.1068 0.7114 0.0000
Co4 0.1083 0.0933 0.0000
Co5 0.1987 0.6429 0.5000
Co6 0.2036 0.5088 0.0000
Co7 0.2593 0.1290 0.5000
Co8 0.4069 0.2036 0.0000
Co9 0.4849 0.0838 0.0000
Co10 0.5584 0.2402 0.5000
P1 0.0166 0.1181 0.5000
P2 0.0762 0.5462 0.0000
P3 0.1981 0.4106 0.5000
P4 0.2719 0.2344 0.0000
P5 0.3333 0.6667 0.0000
P6 0.3952 0.0993 0.5000
P7 0.5647 0.3491 0.0000
# Calculated density (g/cm³): 8.545
# Calculated total energy (eV per atom): -7.08

=====

# 11
# Er2Co17 PBE-GGA optimized geometry
data_Er2Co17
_cell_length_a 8.2237
_cell_length_b 8.2237
_cell_length_c 8.0431
_cell_angle_alpha 90.00
_cell_angle_beta 90.00
_cell_angle_gamma 120.00
_space_group_name_H-M_alt 'P 63/m m c'
_space_group_IT_number 194
_space_group_name_Hall '-P 6c 2c'
loop_
_atom_site_label
_atom_site_fract_x
_atom_site_fract_y
_atom_site_fract_z
Er1 0.0000 0.0000 0.2500
Er2 0.3333 0.6667 0.2500
Co1 0.0000 0.5000 0.0000
Co2 0.0453 0.3736 0.7500
Co3 0.1663 0.3326 0.0226
Co4 0.3333 0.6667 0.6060
# Calculated density (g/cm³): 9.422
# Energy of formation (kcal/mol of atoms): 1.6
# Relative energy among the computed polymorphs (meV per atom): 177

=====

# 12
# NdSm2In3Fe3 PBE-GGA optimized geometry
data_NdSm2In3Fe3
_cell_length_a 4.012
_cell_length_b 13.018
_cell_length_c 7.573
_cell_angle_alpha 90.00
_cell_angle_beta 90.00
_cell_angle_gamma 90.00
_space_group_name_H-M_alt 'A m m 2'
_space_group_IT_number 38
loop_
_space_group_symop_operation_xyz
'x,y,z'
'-x,-y,z'
'-x,y,z'
'x,-y,z'
'x,y+1/2,z+1/2'
'-x,-y+1/2,z+1/2'
'-x,y+1/2,z+1/2'
'x,-y+1/2,z+1/2'
loop_
_atom_site_label
_atom_site_fract_x
_atom_site_fract_y
_atom_site_fract_z
Nd1 0.000 0.000 0.000
Sm1 0.000 0.206 0.377
In1 0.500 0.000 0.334
In2 0.500 0.127 0.710
Fe1 0.000 0.000 0.584
Fe2 0.500 0.168 0.084
# Calculated density (g/cm³): 8.034
# Calculated total energy (eV per atom): -5.31